Here is an optimized crystal structure of Ca2MoCl from Alexandria. Energies are from PBE-GGA.

- ρ: 3.1 g/cm3
- Uncorrected energy: -15.84 eV for the cell shown
- ΔE to the lowest computed polymorph: 462 meV/atom
- DOS at the Fermi energy: 2.68 states/eV/f.u.

abc: 10.4916 10.4916 10.4916
angles: 19.47 19.47 19.47
Closest atoms and distances in Å follow each position.
Fractional coordinates of all 4 atoms:
Ca: 0.0000 0.0000 0.0000  3 Mo 3.12
Ca: 0.2258 0.2258 0.2258  3 Cl 2.74
Mo: 0.7431 0.7431 0.7431  3 Ca 3.12, 3 Cl 3.46
Cl: 0.5002 0.5002 0.5002  3 Ca 2.74

Here is an optimized crystal structure of Ca2MoCl from Alexandria. Energies are from PBE-GGA.

- ρ: 3.7 g/cm3
- Uncorrected energy: -17.57 eV for the cell shown
- ΔE to the lowest computed polymorph: 31 meV/atom
- DOS at the Fermi energy: 1.80 states/eV/f.u.

abc: 3.5981 3.5981 9.0416
angles: 98.85 98.85 54.45
Closest atoms and distances in Å follow each position.
Fractional coordinates of all 4 atoms:
Ca: 0.2353 0.2353 0.2435  3 Cl 2.95-3.00, 3 Mo 2.98-3.10, 2 Ca 3.29
Ca: 0.7647 0.7647 0.7565  3 Cl 2.95-3.00, 3 Mo 2.98-3.10, 2 Ca 3.29
Mo: 0.0000 0.0000 0.5000  6 Ca 2.98-3.10, 2 Mo 3.29
Cl: 0.5000 0.5000 0.0000  6 Ca 2.95-3.00, 2 Cl 3.29

Here is an optimized crystal structure of CaMoCl from Alexandria. Energies are from PBE-GGA.

- ρ: 3.5 g/cm3
- Uncorrected energy: -12.64 eV for the cell shown
- ΔE to the lowest computed polymorph: 514 meV/atom
- DOS at the Fermi energy: 1.35 states/eV/f.u.

abc: 4.8736 4.8736 4.8736
angles: 60.00 60.00 60.00
Closest atoms and distances in Å follow each position.
Fractional coordinates of all 3 atoms:
Ca: 0.0000 0.0000 0.0000  4 Cl 2.98
Mo: 0.5000 0.5000 0.5000  4 Cl 2.98
Cl: 0.2500 0.2500 0.2500  4 Mo 2.98, 4 Ca 2.98

Here is an optimized crystal structure of Ca5MoN4Cl2 from Alexandria. Energies are from PBE-GGA.

- ρ: 3.1 g/cm3
- Uncorrected energy: -71.10 eV for the cell shown
- DOS at the Fermi energy: 4.39 states/eV/f.u.

abc: 7.6620 5.6449 5.6449
angles: 113.82 90.00 90.00
Closest atoms and distances in Å follow each position.
Fractional coordinates of all 12 atoms:
Ca: 0.0000 0.0000 0.0000  2 N 2.38
Ca: 0.2983 0.1941 0.5511  3 N 2.42-2.51
Ca: 0.2983 0.5511 0.1941  3 N 2.42-2.51
Ca: 0.7017 0.1941 0.5511  3 N 2.42-2.51
Ca: 0.7017 0.5511 0.1941  3 N 2.42-2.51
Mo: 0.5000 0.8813 0.8813  4 N 1.93
N: 0.3037 0.0786 0.0786  1 Mo 1.93
N: 0.5000 0.5300 0.8573  1 Mo 1.93
N: 0.5000 0.8573 0.5300  1 Mo 1.93
N: 0.6963 0.0786 0.0786  1 Mo 1.93
Cl: 0.0000 0.4607 0.8680  6 Ca 2.83-2.98
Cl: 0.0000 0.8680 0.4607  6 Ca 2.83-2.98

Here is an optimized crystal structure of NaCa2MoCl from Alexandria. Energies are from PBE-GGA.

- ρ: 2.8 g/cm3
- Uncorrected energy: -16.98 eV for the cell shown
- DOS at the Fermi energy: 4.23 states/eV/f.u.

abc: 5.5191 5.5191 4.5462
angles: 90.00 90.00 90.00
Closest atoms and distances in Å follow each position.
Fractional coordinates of all 5 atoms:
Na: 0.0000 0.0000 0.0000  8 Ca 3.58, 4 Mo 3.90
Ca: 0.0000 0.5000 0.5000  2 Cl 2.76
Ca: 0.5000 0.0000 0.5000  2 Cl 2.76
Mo: 0.5000 0.5000 0.0000  2 Cl 2.27
Cl: 0.5000 0.5000 0.5000  2 Mo 2.27

Here is an optimized crystal structure of NaCaMo2Cl from Alexandria. Energies are from PBE-GGA.

- ρ: 2.3 g/cm3
- Uncorrected energy: -16.88 eV for the cell shown
- DOS at the Fermi energy: 5.76 states/eV/f.u.

abc: 5.4384 5.4384 6.9496
angles: 90.00 90.00 90.00
Closest atoms and distances in Å follow each position.
Fractional coordinates of all 5 atoms:
Na: 0.0000 0.0000 0.0000  2 Ca 3.47, 4 Cl 3.85
Ca: 0.0000 0.0000 0.5000  4 Mo 2.72
Mo: 0.0000 0.5000 0.5000  2 Ca 2.72
Mo: 0.5000 0.0000 0.5000  2 Ca 2.72
Cl: 0.5000 0.5000 0.0000  4 Na 3.85